No. 1
Crystalline ZnSb2Te at its relaxed geometry, computed with PBE-GGA.

Geometry as POSCAR:
```
ZnSb2Te
1.0
2.1450 1.2384 8.2580
-2.1450 1.2384 8.2580
0.0000 -2.4769 8.2580
Zn Sb Te
1 2 1
Direct
0.0000 0.0000 0.0000 Zn
0.2186 0.2186 0.2186 Sb
0.4880 0.4880 0.4880 Sb
0.6970 0.6970 0.6970 Te
```

## Properties
Energy above the most stable polymorph in this dataset: 0.080 eV per atom
SG: No. 160
Raw formation energy: -0.0690 eV/atom
Electronic total energy: -3.2341 eV per atom

***

No. 2
Crystalline ZnSb2Te at its relaxed geometry, computed with PBE-GGA.

Geometry as POSCAR:
```
ZnSb2Te
1.0
4.1206 -1.5566 0.0000
4.1206 1.5566 0.0000
-0.1855 0.0000 8.3856
Zn Sb Te
1 2 1
Direct
0.0000 0.0000 0.0000 Zn
0.2881 0.2881 0.1978 Sb
0.7119 0.7119 0.8022 Sb
0.5000 0.5000 0.5000 Te
```

## Properties
Energy above the most stable polymorph in this dataset: 0.262 eV per atom
SG: No. 12
Raw formation energy: 0.1124 eV/atom
Electronic total energy: -3.0527 eV per atom

***

No. 3
Crystalline ZnSb2Te at its relaxed geometry, computed with PBE-GGA.

Geometry as POSCAR:
```
ZnSb2Te
1.0
1.6525 0.9541 11.4523
-1.6525 0.9541 11.4523
0.0000 -1.9082 11.4523
Zn Sb Te
1 2 1
Direct
0.0000 0.0000 0.0000 Zn
0.2697 0.2697 0.2697 Sb
0.7303 0.7303 0.7303 Sb
0.5000 0.5000 0.5000 Te
```

## Properties
Energy above the most stable polymorph in this dataset: 0.407 eV per atom
SG: No. 166
Raw formation energy: 0.2570 eV/atom
Electronic total energy: -2.9081 eV per atom